<a>
Computed, not measured: NaVP2O after structural relaxation at the GGA+U level of DFT.

```
NaVP2O
1.0
4.714 0.000 0.000
0.000 4.714 0.000
0.000 0.000 3.863
Na V P O
1 1 2 1
direct
0.000 0.000 0.000
0.500 0.500 0.500
0.000 0.500 0.000
0.500 0.000 0.000
0.000 0.000 0.500
```

Calculated values
**Total magnetic moment**: 0.00 Bohr magnetons per cell
**Crystal system**: tetragonal

<b>
Computed, not measured: NaVP2O after structural relaxation at the GGA+U level of DFT.

```
NaVP2O
1.0
4.800 0.000 0.000
0.000 4.800 0.000
0.000 0.000 3.690
Na V P O
1 1 2 1
direct
0.000 0.000 0.000
0.500 0.500 0.500
0.000 0.500 0.500
0.500 0.000 0.500
0.500 0.500 0.000
```

Calculated values
**Total magnetic moment**: 0.36 Bohr magnetons per cell
**Crystal system**: tetragonal

Of all the structures shown, which is most stable? <b>, and <a> is the least stable.